## BaNaHf3 (PBE-GGA)

Data for a relaxed BaNaHf3 crystal.

Its crystal system is cubic. For the volume, the calculation gives 146.41 Å³/f.u. The density of states at the Fermi level is 10.35 states/eV per cell. The calculation puts the formation energy at 1.51 eV per atom.

Cell: 5.2705 5.2705 5.2705 Å, 90.00 90.00 90.00°
Fractional coordinates of all 5 atoms:
1 Ba 0.0000 0.0000 0.0000
2 Na 0.5000 0.5000 0.5000
3 Hf 0.0000 0.5000 0.5000
4 Hf 0.5000 0.0000 0.5000
5 Hf 0.5000 0.5000 0.0000